Entry 1:
5
Lattice="4.5749 0.0000 0.0000 0.0000 4.9763 0.0000 0.0000 0.0000 4.5749" Properties=species:S:1:pos:R:3 comment="PBE-GGA ScSi2AgRh, relaxed" sg="P4/mmm, No. 123" raw_formation_energy_ev_per_atom=0.06 pbc="T T T"
Sc 0.0000 2.4881 0.0000
Rh 0.0000 0.0000 0.0000
Si 2.2875 0.0000 0.0000
Si 0.0000 0.0000 2.2875
Ag 2.2875 2.4881 2.2875

Entry 2:
5
Lattice="4.0835 0.0000 0.0000 0.0000 4.0835 0.0000 0.0000 0.0000 4.0857" Properties=species:S:1:pos:R:3 comment="PBE-GGA LiMgBRh2, relaxed" sg="P4/mmm, No. 123" formation_enthalpy_0k_ev_per_fu=-2.049 pbc="T T T"
B 0.0000 0.0000 0.0000
Rh 2.0418 0.0000 0.0000
Rh 0.0000 2.0418 0.0000
Mg 2.0418 2.0418 2.0429
Li 0.0000 0.0000 2.0429

Entry 3:
6
Lattice="0.0000 3.3860 3.3860 3.3860 0.0000 3.3860 3.3860 3.3860 0.0000" Properties=species:S:1:pos:R:3 comment="PBE-GGA Li4MnOs, relaxed" sg="F-43m, No. 216" formation_enthalpy_0k_ev_per_fu=2.523 pbc="T T T"
Li 2.5267 2.5267 2.5267
Li 4.2452 4.2452 2.5267
Li 2.5267 4.2452 4.2452
Li 4.2452 2.5267 4.2452
Mn 5.0789 5.0789 5.0789
Os 0.0000 0.0000 0.0000

Entry 4:
5
Lattice="-2.8211 -3.0532 -2.9593 3.1660 -2.7509 -0.1800 -1.8083 -2.3528 4.1512" Properties=species:S:1:pos:R:3 comment="PBE-GGA LiNbAl2C, relaxed" sg="P4/mmm, No. 123" formation_enthalpy_0k_ev_per_fu=4.476 pbc="T T T"
Nb 0.0000 0.0000 0.0000
Al -0.9041 -1.1764 2.0756
Al -1.4106 -1.5266 -1.4797
Li -0.7317 -4.0784 0.5059
C 1.5830 -1.3755 -0.0900

Entry 5:
5
Lattice="-4.7351 2.1204 0.3358 -2.1462 -4.6570 -0.8577 -0.0497 -0.9326 5.1880" Properties=species:S:1:pos:R:3 comment="PBE-GGA HfTeRuI2, relaxed" sg="P4/mmm, No. 123" raw_formation_energy_ev_per_atom=0.73 pbc="T T T"
I -1.0731 -2.3285 -0.4289
I -2.3675 1.0602 0.1679
Te -0.0249 -0.4663 2.5940
Hf -3.4655 -1.7346 2.3330
Ru 0.0000 0.0000 0.0000

Entry 6:
4
Lattice="-4.2022 -0.7315 -1.4851 0.7014 -2.6060 -0.7011 -1.1257 -2.5498 4.4410" Properties=species:S:1:pos:R:3 comment="PBE-GGA TaTcW2, relaxed" sg="P2/m, No. 10" formation_enthalpy_0k_ev_per_fu=-0.275 pbc="T T T"
Tc -2.4193 -4.2326 2.0624
W -0.2111 -2.5876 1.8718
W -0.4253 -5.1461 3.7381
Ta -2.2072 -1.6547 0.1924

Entry 7:
4
Lattice="3.7715 0.0000 0.0000 1.8858 3.2663 0.0000 1.8858 1.0888 7.2084" Properties=species:S:1:pos:R:3 comment="PBE-GGA Lu2AuS, relaxed" sg="R-3m, No. 166" raw_formation_energy_ev_per_atom=-1.33 pbc="T T T"
Au 3.7715 2.1775 3.6042
Lu 5.6573 3.2663 5.5103
Lu 1.8858 1.0888 1.6981
S 0.0000 0.0000 0.0000

Entry 8:
5
Lattice="5.3632 0.0000 0.0000 0.0000 5.3632 0.0000 0.0000 0.0000 5.3632" Properties=species:S:1:pos:R:3 comment="PBE-GGA ZrBeBr3, relaxed" sg="Pm-3m, No. 221" raw_formation_energy_ev_per_atom=-0.19 pbc="T T T"
Br 0.0000 2.6816 0.0000
Br 0.0000 0.0000 2.6816
Br 2.6816 0.0000 0.0000
Be 2.6816 2.6816 2.6816
Zr 0.0000 0.0000 0.0000

Entry 9:
4
Lattice="-3.7846 3.7876 1.9195 -0.5880 0.5974 5.6259 4.2516 -0.1266 -3.7765" Properties=species:S:1:pos:R:3 comment="PBE-GGA Zr2TlSi, relaxed" sg="I-4m2, No. 119" raw_formation_energy_ev_per_atom=-0.21 pbc="T T T"
Si -2.1859 2.1921 3.7720
Tl 0.7383 1.3319 2.8116
Zr -0.8596 2.9266 0.9577
Zr -0.0002 0.0002 0.0004

Entry 10:
4
Lattice="-0.2295 -0.4857 -3.0582 -0.9732 -2.8999 0.5336 -8.4074 2.8542 0.1777" Properties=species:S:1:pos:R:3 comment="PBE-GGA In2FeHg, relaxed" sg="P4mm, No. 99" formation_enthalpy_0k_ev_per_fu=1.134 pbc="T T T"
In -3.1045 -0.8430 -1.2094
In -8.3779 2.8442 0.1771
Hg -6.5261 0.3185 -1.1370
Fe -4.2128 1.4302 0.0890

Entry 11:
4
Lattice="-3.4089 -0.8083 -0.6133 -0.9473 -1.4720 -3.0961 0.0760 -10.2607 2.8182" Properties=species:S:1:pos:R:3 comment="PBE-GGA SmEr2Al, relaxed" sg="R3m, No. 160" formation_enthalpy_0k_ev_per_fu=-0.286 pbc="T T T"
Al -2.9026 -1.5294 -2.4690
Er -0.2540 -8.2100 1.9428
Er -1.1220 -2.8096 -0.3614
Sm -2.1416 -6.2626 -0.4493

Entry 12:
10
Lattice="6.2531 0.0000 3.3183 2.2461 5.8358 3.3183 0.0388 0.0266 7.4778" Properties=species:S:1:pos:R:3 comment="PBE-GGA TmBi3S6, relaxed" sg="R3, No. 146" raw_formation_energy_ev_per_atom=-0.76 pbc="T T T"
S 1.3606 2.7382 7.2654
S 3.5954 5.5836 5.8400
S 7.2420 3.2716 6.9327
S 4.7831 0.2862 8.1882
S 4.0251 1.3499 4.5254
S 4.6125 4.3611 9.5824
Bi 5.5210 3.7909 4.6978
Bi 3.0139 2.0694 9.4224
Bi 1.2992 0.8921 5.1027
Tm 7.2369 4.9691 9.0153